1.
ScB4Os3 | PBE | relaxed

Output
* ΔH_f (0 K): -0.4499 eV per atom
* N(E_F): 2.053 states/eV/f.u.
* DFT total energy: -8.79 eV per atom
* total magnetization: 0.000 μB per cell

Cell: 6.0974 6.0974 9.8735 Å, 90.00 90.00 151.85°
Fractional positions:
Sc (0.0000, 0.0000, 0.0000)
Sc (0.0000, 0.0000, 0.5000)
B (0.1292, 0.8708, 0.7500)
B (0.1499, 0.8501, 0.2500)
B (0.3431, 0.6569, 0.6090)
B (0.3431, 0.6569, 0.8910)
B (0.6569, 0.3431, 0.1090)
B (0.6569, 0.3431, 0.3910)
B (0.8501, 0.1499, 0.7500)
B (0.8708, 0.1292, 0.2500)
Os (0.2988, 0.7012, 0.1084)
Os (0.2988, 0.7012, 0.3916)
Os (0.4887, 0.5113, 0.7500)
Os (0.5113, 0.4887, 0.2500)
Os (0.7012, 0.2988, 0.6084)
Os (0.7012, 0.2988, 0.8916)

2.
ScAgC | PBE | relaxed

Output
* ΔH_f (0 K): 0.1399 eV per atom
* N(E_F): 1.586 states/eV/f.u.
* DFT total energy: -6.00 eV per atom
* total magnetization: 0.001 μB per cell

Cell: 3.3434 3.3434 9.7361 Å, 99.82 99.82 59.97°
Fractional positions:
Sc (0.0000, 0.0000, 0.0000)
Sc (0.5795, 0.5795, 0.7375)
Ag (0.1605, 0.1605, 0.4809)
Ag (0.4171, 0.4171, 0.2508)
C (0.2843, 0.2843, 0.8523)
C (0.7132, 0.7132, 0.1385)

3.
V3Cr2Ge2 | PBE | relaxed

Output
* ΔH_f (0 K): -0.0595 eV per atom
* N(E_F): 4.227 states/eV/f.u.
* DFT total energy: -8.04 eV per atom
* total magnetization: 0.000 μB per cell

Cell: 2.6665 6.2595 6.4537 Å, 115.81 97.02 97.68°
Fractional positions:
V (0.0000, 0.0000, 0.0000)
V (0.3968, 0.7183, 0.5728)
V (0.6032, 0.2817, 0.4272)
Cr (0.1205, 0.5681, 0.8335)
Cr (0.8795, 0.4319, 0.1665)
Ge (0.3737, 0.1740, 0.7494)
Ge (0.6263, 0.8260, 0.2506)

4.
MgSc2Mn2 | PBE | relaxed

Output
* ΔH_f (0 K): 0.2147 eV per atom
* relative energy among the computed polymorphs: 0.072 eV/atom
* N(E_F): 4.749 states/eV/f.u.
* DFT total energy: -6.30 eV per atom
* total magnetization: 0.000 μB per cell

Cell: 9.6949 9.6949 9.6949 Å, 161.07 161.07 26.90°
Fractional positions:
Mg (0.0000, 0.0000, 0.0000)
Sc (0.3709, 0.3709, 0.0000)
Sc (0.6291, 0.6291, 0.0000)
Mn (0.2500, 0.7500, 0.5000)
Mn (0.7500, 0.2500, 0.5000)

5.
TaCdTe2 | PBE | relaxed

Output
* ΔE_f (raw): 19 meV per atom
* N(E_F): 2.526 states/eV/f.u.
* DFT total energy: -4.74 eV per atom
* total magnetization: 0.000 μB per cell

Cell: 10.1669 10.1669 10.1669 Å, 160.63 159.92 28.04°
Fractional positions:
Ta (0.0000, 0.0000, 0.0000)
Cd (0.7461, 0.2461, 0.5000)
Te (0.3933, 0.8933, 0.5000)
Te (0.5745, 0.5745, 0.0000)

6.
Ac3Pm2Pt4 | PBE | relaxed

Output
* ΔH_f (0 K): -1.0110 eV per atom
* N(E_F): 5.396 states/eV/f.u.
* DFT total energy: -6.12 eV per atom
* total magnetization: 0.000 μB per cell

Cell: 4.3378 4.3378 17.2403 Å, 90.02 90.02 59.99°
Fractional positions:
Ac (0.0000, 0.0000, 0.0000)
Ac (0.3339, 0.3339, 0.3891)
Ac (0.6661, 0.6661, 0.6109)
Pm (0.3330, 0.3330, 0.8030)
Pm (0.6670, 0.6670, 0.1970)
Pt (0.0005, 0.0005, 0.2962)
Pt (0.9995, 0.9995, 0.7038)
Pt (0.3335, 0.3335, 0.1059)
Pt (0.6665, 0.6665, 0.8941)

7.
SmYEr4 | PBE | relaxed

Output
* ΔH_f (0 K): 0.0236 eV per atom
* relative energy among the computed polymorphs: 0.000 eV/atom
* N(E_F): 8.233 states/eV/f.u.
* DFT total energy: -4.88 eV per atom
* total magnetization: 0.000 μB per cell

Cell: 4.9848 6.1340 7.0821 Å, 106.82 90.00 113.91°
Fractional positions:
Sm (0.0000, 0.0000, 0.0000)
Y (0.0000, 0.0000, 0.5000)
Er (0.3328, 0.6654, 0.1664)
Er (0.3326, 0.6648, 0.6661)
Er (0.6674, 0.3352, 0.3339)
Er (0.6672, 0.3346, 0.8336)

8.
TiZnNi3 | PBE | relaxed

Output
* ΔH_f (0 K): -0.2369 eV per atom
* relative energy among the computed polymorphs: 0.000 eV/atom
* N(E_F): 3.850 states/eV/f.u.
* DFT total energy: -5.54 eV per atom
* total magnetization: 0.000 μB per cell

Cell: 6.2632 6.2632 5.0624 Å, 90.00 90.00 140.46°
Fractional positions:
Ti (0.1250, 0.8750, 0.7500)
Ti (0.8750, 0.1250, 0.2500)
Zn (0.4882, 0.5118, 0.7500)
Zn (0.5118, 0.4882, 0.2500)
Ni (0.1295, 0.8705, 0.2500)
Ni (0.3121, 0.6879, 0.0017)
Ni (0.3121, 0.6879, 0.4983)
Ni (0.6879, 0.3121, 0.5017)
Ni (0.6879, 0.3121, 0.9983)
Ni (0.8705, 0.1295, 0.7500)

9.
SrYS3 | PBE | relaxed

Output
* ΔE_f (raw): -1484 meV per atom
* relative energy among the computed polymorphs: 0.000 eV/atom
* N(E_F): 5.157 states/eV/f.u.
* DFT total energy: -5.59 eV per atom
* total magnetization: 0.000 μB per cell

Cell: 5.2211 5.2211 5.2211 Å, 90.00 90.00 90.00°
Fractional positions:
Sr (0.0000, 0.0000, 0.0000)
Y (0.5000, 0.5000, 0.5000)
S (0.0000, 0.5000, 0.5000)
S (0.5000, 0.0000, 0.5000)
S (0.5000, 0.5000, 0.0000)

10.
ZnTe2P | PBE | relaxed

Output
* ΔE_f (raw): 322 meV per atom
* relative energy among the computed polymorphs: 0.292 eV/atom
* N(E_F): 2.330 states/eV/f.u.
* DFT total energy: -2.92 eV per atom
* total magnetization: 0.000 μB per cell

Cell: 4.7001 4.7001 7.6496 Å, 90.00 90.00 131.62°
Fractional positions:
Zn (0.0000, 0.0000, 0.0000)
Te (0.5000, 0.5000, 0.2567)
Te (0.5000, 0.5000, 0.7433)
P (0.0000, 0.0000, 0.5000)

11.
TaBiCl3 | PBE | relaxed

Output
* ΔE_f (raw): -18 meV per atom
* relative energy among the computed polymorphs: 0.000 eV/atom
* N(E_F): 8.542 states/eV/f.u.
* DFT total energy: -4.27 eV per atom
* total magnetization: 0.002 μB per cell

Cell: 4.9212 4.9212 4.9212 Å, 90.00 90.00 90.00°
Fractional positions:
Ta (0.0000, 0.0000, 0.0000)
Bi (0.5000, 0.5000, 0.5000)
Cl (0.0000, 0.0000, 0.5000)
Cl (0.0000, 0.5000, 0.0000)
Cl (0.5000, 0.0000, 0.0000)

12.
NdYLu2 | PBE | relaxed

Output
* ΔH_f (0 K): 0.0325 eV per atom
* relative energy among the computed polymorphs: 0.000 eV/atom
* N(E_F): 6.470 states/eV/f.u.
* DFT total energy: -5.04 eV per atom
* total magnetization: 0.000 μB per cell

Cell: 5.0365 5.0365 4.9639 Å, 90.00 90.00 90.00°
Fractional positions:
Nd (0.0000, 0.0000, 0.0000)
Y (0.5000, 0.5000, 0.0000)
Lu (0.0000, 0.5000, 0.5000)
Lu (0.5000, 0.0000, 0.5000)

13.
Sm5Th2Mg | PBE | relaxed

Output
* ΔH_f (0 K): 0.0344 eV per atom
* N(E_F): 10.219 states/eV/f.u.
* DFT total energy: -4.97 eV per atom
* total magnetization: 0.000 μB per cell

Cell: 8.7403 8.7403 3.6191 Å, 90.00 90.00 111.04°
Fractional positions:
Sm (0.0000, 0.0000, 0.0000)
Sm (0.1370, 0.3894, 0.5000)
Sm (0.3894, 0.1370, 0.5000)
Sm (0.6106, 0.8630, 0.5000)
Sm (0.8630, 0.6106, 0.5000)
Th (0.2392, 0.7608, 0.0000)
Th (0.7608, 0.2392, 0.0000)
Mg (0.5000, 0.5000, 0.0000)